The following is a PBE calculation of a geometry-optimized PuZrNp structure, from OQMD.

```
3
Lattice="3.677 -2.528 1.510 0.068 -4.668 -0.631 2.978 -1.913 -3.108" Properties=species:S:1:pos:R:3 pbc="T T T"
Zr 5.043 -6.832 -1.672
Pu 1.681 -2.277 -0.557
Np 0.000 0.000 0.000
```

**Final energy**: -32.80 eV/cell
**Volume**: 74 Å³/f.u.
**Formation enthalpy at 0 K**: 0.882 eV/atom
**SG**: No. 216